# VBi2Au, optimized geometry, DFT PBE
data_VBi2Au
_chemical_formula_sum 'V4 Bi8 Au4'
_cell_length_a 7.254
_cell_length_b 7.254
_cell_length_c 7.254
_cell_angle_alpha 90.00
_cell_angle_beta 90.00
_cell_angle_gamma 90.00
_symmetry_space_group_name_H-M 'F m -3 m'
_symmetry_Int_Tables_number 225
_symmetry_space_group_name_Hall '-F 4 2 3'
loop_
_atom_site_label
_atom_site_type_symbol
_atom_site_fract_x
_atom_site_fract_y
_atom_site_fract_z
_atom_site_occupancy
V1 V 0.000 0.000 0.000 1
Bi1 Bi 0.250 0.250 0.250 1
Au1 Au 0.000 0.000 0.500 1
# D(E_F) (states/eV/f.u.): 3.4
# ΔH_f (0 K) (meV/atom): 381
# Total energy (eV per cell): -74.54